Record 1
A geometry-optimized LiNiRu2 structure, computed with GGA-PBE.

Computed properties:
space group = Cm (8)
D(E_F) = 1.074 states/eV per atom
final energy = -6.427 eV per atom

POSCAR file:
```
LiNiRu2
1.0
-4.397 0.242 -1.081
-4.265 0.146 1.534
-0.471 4.531 0.190
Ru Ni Li
2 1 1
direct
0.744 0.744 0.774 Ru
0.994 0.994 0.975 Ru
0.256 0.256 0.279 Ni
0.505 0.505 0.472 Li
```



Record 2
A geometry-optimized LiNiRu2 structure, computed with GGA-PBE.

Computed properties:
space group = Cmmm (65)
D(E_F) = 1.425 states/eV per atom
final energy = -6.327 eV per atom

POSCAR file:
```
LiNiRu2
1.0
4.689 -0.026 0.000
-1.978 4.252 0.000
0.000 0.000 2.564
Ni Ru Li
1 2 1
direct
0.000 0.500 0.500 Ni
0.500 0.500 0.000 Ru
0.000 0.000 0.000 Ru
0.500 0.000 0.500 Li
```



Record 3
A geometry-optimized LiNiRu2 structure, computed with GGA-PBE.

Computed properties:
space group = Cmmm (65)
D(E_F) = 1.152 states/eV per atom
final energy = -6.281 eV per atom

POSCAR file:
```
LiNiRu2
1.0
-1.594 2.026 0.229
-1.115 -2.251 -0.623
-1.095 -1.829 8.562
Li Ru Ni
1 2 1
direct
0.500 0.500 0.250 Li
0.000 0.000 0.510 Ru
0.000 0.000 0.990 Ru
0.500 0.500 0.750 Ni
```



Record 4
A geometry-optimized Li2NiRuS structure, computed with GGA-PBE.

Computed properties:
space group = P4/mmm (123)
D(E_F) = 0.885 states/eV per atom
final energy = -4.301 eV per atom

POSCAR file:
```
Li2NiRuS
1.0
4.290 0.000 0.000
0.000 4.147 0.000
0.000 0.000 4.290
Ru Li Ni S
1 2 1 1
direct
0.500 0.500 0.500 Ru
0.000 0.000 0.500 Li
0.500 0.000 0.000 Li
0.000 0.500 0.000 Ni
0.000 0.000 0.000 S
```



Record 5
A geometry-optimized LiNiSb2Ru structure, computed with GGA-PBE.

Computed properties:
space group = P4/mmm (123)
D(E_F) = 0.683 states/eV per atom
final energy = -4.266 eV per atom

POSCAR file:
```
LiNiSb2Ru
1.0
-4.068 -0.420 2.496
0.878 -3.710 0.807
2.289 1.405 3.967
Ni Sb Li Ru
1 2 1 1
direct
0.000 0.500 0.000 Ni
0.500 0.000 0.000 Sb
0.000 0.000 0.500 Sb
0.000 0.000 0.000 Li
0.500 0.500 0.500 Ru
```



Record 6
A geometry-optimized LiScNiRu structure, computed with GGA-PBE.

Computed properties:
space group = F-43m (216)
D(E_F) = 1.228 states/eV per atom
final energy = -5.868 eV per atom

POSCAR file:
```
LiScNiRu
1.0
4.355 0.000 0.000
2.177 3.772 0.000
2.177 1.257 3.556
Sc Li Ni Ru
1 1 1 1
direct
0.500 0.500 0.500 Sc
0.750 0.750 0.750 Li
0.000 0.000 0.000 Ni
0.250 0.250 0.250 Ru
```



Record 7
A geometry-optimized LiScNi2Ru structure, computed with GGA-PBE.

Computed properties:
space group = P4/mmm (123)
D(E_F) = 1.225 states/eV per atom
final energy = -5.243 eV per atom

POSCAR file:
```
LiScNi2Ru
1.0
-0.070 -3.142 2.361
-1.769 -2.399 -3.245
3.599 -1.000 -1.224
Ni Sc Ru Li
2 1 1 1
direct
0.500 0.000 0.000 Ni
0.000 0.000 0.500 Ni
0.000 0.500 0.000 Sc
0.500 0.500 0.500 Ru
0.000 0.000 0.000 Li
```



Record 8
A geometry-optimized LiTaNiRu structure, computed with GGA-PBE.

Computed properties:
space group = F-43m (216)
D(E_F) = 0.401 states/eV per atom
final energy = -7.390 eV per atom

POSCAR file:
```
LiTaNiRu
1.0
-1.262 3.970 0.932
-2.796 0.665 3.157
1.278 1.850 3.629
Ni Ru Li Ta
1 1 1 1
direct
0.500 0.500 0.500 Ni
0.000 0.000 0.000 Ru
0.750 0.750 0.750 Li
0.250 0.250 0.250 Ta
```



Record 9
A geometry-optimized LiTiNiRu structure, computed with GGA-PBE.

Computed properties:
space group = F-43m (216)
D(E_F) = 0.565 states/eV per atom
final energy = -6.455 eV per atom

POSCAR file:
```
LiTiNiRu
1.0
-2.583 3.209 0.740
-1.645 0.527 3.813
1.259 3.189 2.400
Ni Ti Li Ru
1 1 1 1
direct
0.000 0.000 0.000 Ni
0.250 0.250 0.250 Ti
0.750 0.750 0.750 Li
0.500 0.500 0.500 Ru
```



Record 10
A geometry-optimized LiVNiRu structure, computed with GGA-PBE.

Computed properties:
space group = F-43m (216)
D(E_F) = 0.444 states/eV per atom
final energy = -6.640 eV per atom

POSCAR file:
```
LiVNiRu
1.0
-2.090 2.283 -2.691
-3.855 -1.002 -0.982
-3.116 2.340 1.280
Ru Li Ni V
1 1 1 1
direct
0.750 0.750 0.750 Ru
0.000 0.000 0.000 Li
0.250 0.250 0.250 Ni
0.500 0.500 0.500 V
```



Record 11
A geometry-optimized LiNiS2 structure, computed with GGA-PBE.

Computed properties:
space group = I-42d (122)
D(E_F) = 0.749 states/eV per atom
final energy = -4.525 eV per atom

POSCAR file:
```
LiNiS2
1.0
5.437 0.000 0.000
0.000 5.437 0.000
2.719 2.719 5.018
Li Ni S
2 2 4
direct
0.500 0.500 0.000 Li
0.250 0.750 0.500 Li
0.000 0.000 0.000 Ni
0.750 0.250 0.500 Ni
0.875 0.924 0.750 S
0.076 0.625 0.250 S
0.375 0.326 0.750 S
0.674 0.125 0.250 S
```



Record 12
A geometry-optimized LiNi2S2 structure, computed with GGA-PBE.

Computed properties:
space group = P-3m1 (164)
D(E_F) = 0.859 states/eV per atom
final energy = -4.939 eV per atom

POSCAR file:
```
LiNi2S2
1.0
-1.838 -2.499 -1.936
0.401 -0.417 3.611
-5.248 3.128 0.945
Ni S Li
2 2 1
direct
0.333 0.667 0.372 Ni
0.667 0.333 0.628 Ni
0.333 0.667 0.741 S
0.667 0.333 0.259 S
0.000 0.000 0.000 Li
```